Crystalline ZnWO3 at its relaxed geometry, computed with PBE+U.

Summary:
VASP energy in eV/atom: -6.362
Density of states at the Fermi level in states/eV per atom: 0.000
Crystal system: orthorhombic

abc: 5.3340 5.3762 7.9834
angles: 90.00 90.00 90.00
Site moments in Bohr magnetons follow the coordinates.
Atoms (fractional coordinates):
Zn: 0.5178 0.0175 0.2500  0.02
Zn: 0.0178 0.4825 0.7500  0.02
Zn: 0.9822 0.5175 0.2500  0.02
Zn: 0.4822 0.9825 0.7500  0.02
W: 0.0000 0.0000 0.0000  1.93
W: 0.5000 0.5000 0.0000  1.93
W: 0.5000 0.5000 0.5000  1.93
W: 0.0000 0.0000 0.5000  1.93
O: 0.3835 0.6032 0.7500  0.02
O: 0.8835 0.8968 0.2500  0.02
O: 0.1165 0.1032 0.7500  0.02
O: 0.6165 0.3968 0.2500  0.02
O: 0.1648 0.3255 0.4315  0.00
O: 0.6648 0.1745 0.5685  0.00
O: 0.3352 0.8255 0.0685  0.00
O: 0.8352 0.6745 0.9315  0.00
O: 0.1648 0.3255 0.0685  0.00
O: 0.6648 0.1745 0.9315  0.00
O: 0.8352 0.6745 0.5685  0.00
O: 0.3352 0.8255 0.4315  0.00